## NdSe (SCAN)

Data for NdSe at its PBEsol-relaxed geometry.

Results
- size of the total moment (μB/atom) = 0.0000
- energy (eV per cell) = -67.776
- volume (Å³/cell) = 51.2

Lattice parameters (Å, degrees): 4.1691 4.1691 4.1691 60.00 60.00 60.00
With the nearest neighbours (Å) after each atom.
Fractional positions:
Se (0.5000, 0.5000, 0.5000)  6 Nd 2.95
Nd (0.0000, 0.0000, 0.0000)  6 Se 2.95